Computed, not measured: an optimized crystal structure of SrNdO2 at the PBE-GGA level of DFT.

Unit cell a=3.578 b=3.581 c=6.361 alpha=106.28 beta=90.00 gamma=119.98
Fractional coordinates of all 4 atoms:
Sr 0.500 0.500 0.000
Nd 0.000 0.500 0.500
O 0.252 0.005 0.258
O 0.748 0.995 0.742

Values from the calculation:
- formation energy from raw total energies (eV per atom) = -2.699
- electronic total energy (eV/f.u.) = -27.16
- crystal system = monoclinic



Computed, not measured: an optimized crystal structure of LiTlGa2Br8 at the PBE-GGA level of DFT.

Unit cell a=6.762 b=6.762 c=10.535 alpha=71.28 beta=71.28 gamma=60.00
Fractional coordinates of all 12 atoms:
Li 0.000 0.000 0.000
Tl 0.500 0.500 0.500
Ga 0.252 0.252 0.244
Ga 0.748 0.748 0.756
Br 0.171 0.171 0.486
Br 0.608 0.281 0.172
Br 0.829 0.829 0.514
Br 0.939 0.608 0.172
Br 0.061 0.392 0.828
Br 0.281 0.939 0.172
Br 0.719 0.061 0.828
Br 0.392 0.719 0.828

Values from the calculation:
- formation energy from raw total energies (eV per atom) = -0.953
- electronic total energy (eV/f.u.) = -35.15
- crystal system = trigonal



Computed, not measured: an optimized crystal structure of Sc2MnI at the PBE-GGA level of DFT.

Unit cell a=6.395 b=6.395 c=6.922 alpha=62.49 beta=62.49 gamma=90.00
Fractional coordinates of all 8 atoms:
I 0.000 0.000 0.000
I 0.750 0.250 0.500
Sc 0.524 0.125 0.250
Sc 0.226 0.625 0.250
Sc 0.375 0.476 0.750
Sc 0.875 0.774 0.750
Mn 0.500 0.500 0.000
Mn 0.250 0.750 0.500

Values from the calculation:
- formation energy from raw total energies (eV per atom) = 0.510
- electronic total energy (eV/f.u.) = -21.34
- crystal system = tetragonal



Computed, not measured: an optimized crystal structure of CaNdGaSi at the PBE-GGA level of DFT.

Unit cell a=4.481 b=4.061 c=5.959 alpha=90.00 beta=112.09 gamma=90.00
Fractional coordinates of all 4 atoms:
Ca 0.140 0.000 0.281
Nd 0.861 0.500 0.722
Ga 0.571 0.500 0.142
Si 0.428 0.000 0.855

Values from the calculation:
- formation energy from raw total energies (eV per atom) = -0.611
- electronic total energy (eV/f.u.) = -17.66
- crystal system = orthorhombic



> The highest formation energy from raw total energies belongs to which entry?

Sc2MnI